Arrangement A

Below is an optimized crystal structure of Al2GaAg2, with properties calculated at the PBE level. Values from VASP.

Cell and atoms, written as Quantum ESPRESSO input:
```
&SYSTEM
  ibrav = 0, nat = 10, ntyp = 3
/
ATOMIC_SPECIES
Al 26.98 Al.upf
Ga 69.72 Ga.upf
Ag 107.87 Ag.upf
CELL_PARAMETERS angstrom
8.1531 0.0000 0.0000
0.0000 8.1531 0.0000
0.0000 0.0000 2.7668
ATOMIC_POSITIONS crystal
Al 0.1276 0.3724 0.0000
Al 0.3724 0.8724 0.0000
Al 0.6276 0.1276 0.0000
Al 0.8724 0.6276 0.0000
Ga 0.0000 0.0000 0.5000
Ga 0.5000 0.5000 0.5000
Ag 0.1697 0.6697 0.5000
Ag 0.3303 0.1697 0.5000
Ag 0.6697 0.8303 0.5000
Ag 0.8303 0.3303 0.5000
```

Properties
Crystal system: tetragonal
Fermi-level density of states in states/eV per cell: 3.0
Magnetization in μB/cell: 0.00

Arrangement B

Below is an optimized crystal structure of Al2GaAg2, with properties calculated at the PBE level. Values from VASP.

Cell and atoms, written as Quantum ESPRESSO input:
```
&SYSTEM
  ibrav = 0, nat = 5, ntyp = 3
/
ATOMIC_SPECIES
Al 26.98 Al.upf
Ga 69.72 Ga.upf
Ag 107.87 Ag.upf
CELL_PARAMETERS angstrom
-1.9401 1.9401 6.4352
1.9401 -1.9401 6.4352
1.9401 1.9401 -6.4352
ATOMIC_POSITIONS crystal
Al 0.2500 0.7500 0.5000
Al 0.7500 0.2500 0.5000
Ga 0.0000 0.0000 0.0000
Ag 0.3930 0.3930 0.0000
Ag 0.6070 0.6070 0.0000
```

Properties
Crystal system: tetragonal
Fermi-level density of states in states/eV per cell: 2.2
Magnetization in μB/cell: 0.00

Arrangement C

Below is an optimized crystal structure of Al2GaAg2, with properties calculated at the PBE level. Values from VASP.

Cell and atoms, written as Quantum ESPRESSO input:
```
&SYSTEM
  ibrav = 0, nat = 5, ntyp = 3
/
ATOMIC_SPECIES
Al 26.98 Al.upf
Ga 69.72 Ga.upf
Ag 107.87 Ag.upf
CELL_PARAMETERS angstrom
-1.9354 1.9354 6.4277
1.9354 -1.9354 6.4277
1.9354 1.9354 -6.4277
ATOMIC_POSITIONS crystal
Al 0.0995 0.0995 0.0000
Al 0.9005 0.9005 0.0000
Ga 0.5000 0.5000 0.0000
Ag 0.2500 0.7500 0.5000
Ag 0.7500 0.2500 0.5000
```

Properties
Crystal system: tetragonal
Fermi-level density of states in states/eV per cell: 1.3
Magnetization in μB/cell: 0.00

Arrangement D

Below is an optimized crystal structure of Al2GaAg2, with properties calculated at the PBE level. Values from VASP.

Cell and atoms, written as Quantum ESPRESSO input:
```
&SYSTEM
  ibrav = 0, nat = 5, ntyp = 3
/
ATOMIC_SPECIES
Al 26.98 Al.upf
Ga 69.72 Ga.upf
Ag 107.87 Ag.upf
CELL_PARAMETERS angstrom
2.9460 0.0000 0.0000
-1.4730 2.5514 0.0000
0.0000 0.0000 11.5367
ATOMIC_POSITIONS crystal
Al 0.3333 0.6667 0.4029
Al 0.6667 0.3333 0.5971
Ga 0.0000 0.0000 0.0000
Ag 0.3333 0.6667 0.7923
Ag 0.6667 0.3333 0.2077
```

Properties
Crystal system: trigonal
Fermi-level density of states in states/eV per cell: 1.1
Magnetization in μB/cell: 0.00

arrangement D is the most stable structure; the next one sits 1.8 kJ/mol of atoms above it.

Arrangement A

Below is an optimized crystal structure of Al2GaAg2, with properties calculated at the PBE level. Values from VASP.

Cell and atoms, written as Quantum ESPRESSO input:
```
&SYSTEM
  ibrav = 0, nat = 10, ntyp = 3
/
ATOMIC_SPECIES
Al 26.98 Al.upf
Ga 69.72 Ga.upf
Ag 107.87 Ag.upf
CELL_PARAMETERS angstrom
8.1504 0.0000 0.0000
0.0000 8.1504 0.0000
0.0000 0.0000 2.7716
ATOMIC_POSITIONS crystal
Al 0.1259 0.3741 0.0000
Al 0.3741 0.8741 0.0000
Al 0.6259 0.1259 0.0000
Al 0.8741 0.6259 0.0000
Ga 0.0000 0.0000 0.0000
Ga 0.5000 0.5000 0.0000
Ag 0.1714 0.6714 0.5000
Ag 0.3286 0.1714 0.5000
Ag 0.6714 0.8286 0.5000
Ag 0.8286 0.3286 0.5000
```

Properties
Crystal system: tetragonal
Fermi-level density of states in states/eV per cell: 3.1
Magnetization in μB/cell: 0.00

Arrangement B

Below is an optimized crystal structure of Al2GaAg2, with properties calculated at the PBE level. Values from VASP.

Cell and atoms, written as Quantum ESPRESSO input:
```
&SYSTEM
  ibrav = 0, nat = 5, ntyp = 3
/
ATOMIC_SPECIES
Al 26.98 Al.upf
Ga 69.72 Ga.upf
Ag 107.87 Ag.upf
CELL_PARAMETERS angstrom
1.4689 0.8481 11.5461
-1.4689 0.8481 11.5461
0.0000 -1.6962 11.5461
ATOMIC_POSITIONS crystal
Al 0.0987 0.0987 0.0987
Al 0.9013 0.9013 0.9013
Ga 0.5000 0.5000 0.5000
Ag 0.2982 0.2982 0.2982
Ag 0.7018 0.7018 0.7018
```

Properties
Crystal system: trigonal
Fermi-level density of states in states/eV per cell: 1.3
Magnetization in μB/cell: 0.00

arrangement B is the most stable structure; the next one sits 4.0 kJ/mol of atoms above it.

Arrangement A

Below is an optimized crystal structure of Al12Ga6Ag, with properties calculated at the PBE level. Values from VASP.

Cell and atoms, written as Quantum ESPRESSO input:
```
&SYSTEM
  ibrav = 0, nat = 19, ntyp = 3
/
ATOMIC_SPECIES
Al 26.98 Al.upf
Ga 69.72 Ga.upf
Ag 107.87 Ag.upf
CELL_PARAMETERS angstrom
5.7559 3.3232 3.3552
-5.7559 3.3232 3.3552
0.0000 -6.6464 3.3552
ATOMIC_POSITIONS crystal
Al 0.0375 0.8908 0.3233
Al 0.1092 0.6767 0.9625
Al 0.1930 0.4742 0.6317
Al 0.3233 0.0375 0.8908
Al 0.3683 0.8070 0.5258
Al 0.4742 0.6317 0.1930
Al 0.5258 0.3683 0.8070
Al 0.6317 0.1930 0.4742
Al 0.6767 0.9625 0.1092
Al 0.8070 0.5258 0.3683
Al 0.8908 0.3233 0.0375
Al 0.9625 0.1092 0.6767
Ga 0.0426 0.7802 0.6441
Ga 0.2198 0.3559 0.9574
Ga 0.3559 0.9574 0.2198
Ga 0.6441 0.0426 0.7802
Ga 0.7802 0.6441 0.0426
Ga 0.9574 0.2198 0.3559
Ag 0.5000 0.5000 0.5000
```

Properties
Crystal system: trigonal
Fermi-level density of states in states/eV per cell: 5.2
Magnetization in μB/cell: 0.00

Arrangement B

Below is an optimized crystal structure of Al12Ga6Ag, with properties calculated at the PBE level. Values from VASP.

Cell and atoms, written as Quantum ESPRESSO input:
```
&SYSTEM
  ibrav = 0, nat = 19, ntyp = 3
/
ATOMIC_SPECIES
Al 26.98 Al.upf
Ga 69.72 Ga.upf
Ag 107.87 Ag.upf
CELL_PARAMETERS angstrom
5.8484 3.3765 2.9083
-5.8484 3.3765 2.9083
0.0000 -6.7531 2.9083
ATOMIC_POSITIONS crystal
Al 0.0548 0.6928 0.1406
Al 0.1153 0.3957 0.2853
Al 0.1406 0.0548 0.6928
Al 0.2853 0.1153 0.3957
Al 0.3072 0.8594 0.9452
Al 0.3957 0.2853 0.1153
Al 0.6043 0.7147 0.8847
Al 0.6928 0.1406 0.0548
Al 0.7147 0.8847 0.6043
Al 0.8594 0.9452 0.3072
Al 0.8847 0.6043 0.7147
Al 0.9452 0.3072 0.8594
Ga 0.2056 0.4433 0.6797
Ga 0.3203 0.7944 0.5567
Ga 0.4433 0.6797 0.2056
Ga 0.5567 0.3203 0.7944
Ga 0.6797 0.2056 0.4433
Ga 0.7944 0.5567 0.3203
Ag 0.0000 0.0000 0.0000
```

Properties
Crystal system: trigonal
Fermi-level density of states in states/eV per cell: 7.6
Magnetization in μB/cell: 0.00

arrangement B is the most stable structure; the next one sits 3.3 kJ/mol of atoms above it.

Arrangement A

Below is an optimized crystal structure of AlGaAg2, with properties calculated at the PBE level. Values from VASP.

Cell and atoms, written as Quantum ESPRESSO input:
```
&SYSTEM
  ibrav = 0, nat = 8, ntyp = 3
/
ATOMIC_SPECIES
Al 26.98 Al.upf
Ga 69.72 Ga.upf
Ag 107.87 Ag.upf
CELL_PARAMETERS angstrom
-3.7671 3.7671 2.7400
3.7671 -3.7671 2.7400
3.7671 3.7671 -2.7400
ATOMIC_POSITIONS crystal
Al 0.0000 0.0000 0.0000
Al 0.7500 0.2500 0.5000
Ga 0.2500 0.7500 0.5000
Ga 0.5000 0.5000 0.0000
Ag 0.1122 0.1250 0.4872
Ag 0.3750 0.8878 0.0128
Ag 0.6378 0.6250 0.5128
Ag 0.8750 0.3622 0.9872
```

Properties
Crystal system: tetragonal
Fermi-level density of states in states/eV per cell: 3.4
Magnetization in μB/cell: 0.00

Arrangement B

Below is an optimized crystal structure of AlGaAg2, with properties calculated at the PBE level. Values from VASP.

Cell and atoms, written as Quantum ESPRESSO input:
```
&SYSTEM
  ibrav = 0, nat = 4, ntyp = 3
/
ATOMIC_SPECIES
Al 26.98 Al.upf
Ga 69.72 Ga.upf
Ag 107.87 Ag.upf
CELL_PARAMETERS angstrom
0.0000 3.2712 3.2712
3.2712 0.0000 3.2712
3.2712 3.2712 0.0000
ATOMIC_POSITIONS crystal
Al 0.0000 0.0000 0.0000
Ga 0.5000 0.5000 0.5000
Ag 0.2500 0.2500 0.2500
Ag 0.7500 0.7500 0.7500
```

Properties
Crystal system: cubic
Fermi-level density of states in states/eV per cell: 1.4
Magnetization in μB/cell: 0.00

Arrangement C

Below is an optimized crystal structure of AlGaAg2, with properties calculated at the PBE level. Values from VASP.

Cell and atoms, written as Quantum ESPRESSO input:
```
&SYSTEM
  ibrav = 0, nat = 4, ntyp = 3
/
ATOMIC_SPECIES
Al 26.98 Al.upf
Ga 69.72 Ga.upf
Ag 107.87 Ag.upf
CELL_PARAMETERS angstrom
4.1043 0.0000 0.0000
0.0000 4.1043 0.0000
0.0000 0.0000 4.1166
ATOMIC_POSITIONS crystal
Al 0.0000 0.0000 0.0000
Ga 0.5000 0.5000 0.0000
Ag 0.0000 0.5000 0.5000
Ag 0.5000 0.0000 0.5000
```

Properties
Crystal system: tetragonal
Fermi-level density of states in states/eV per cell: 2.1
Magnetization in μB/cell: 0.00

Arrangement D

Below is an optimized crystal structure of AlGaAg2, with properties calculated at the PBE level. Values from VASP.

Cell and atoms, written as Quantum ESPRESSO input:
```
&SYSTEM
  ibrav = 0, nat = 4, ntyp = 3
/
ATOMIC_SPECIES
Al 26.98 Al.upf
Ga 69.72 Ga.upf
Ag 107.87 Ag.upf
CELL_PARAMETERS angstrom
2.9810 0.0000 0.0000
0.0000 4.8095 0.0000
0.0000 0.0000 4.8031
ATOMIC_POSITIONS crystal
Al 0.0000 0.0000 0.0000
Ga 0.5000 0.5000 0.8086
Ag 0.0000 0.5000 0.2998
Ag 0.5000 0.0000 0.5049
```

Properties
Crystal system: orthorhombic
Fermi-level density of states in states/eV per cell: 0.5
Magnetization in μB/cell: 0.00

arrangement D is the most stable structure; the next one sits 6.7 kJ/mol of atoms above it.